The following is a PBE calculation of a relaxed structure of Li2Sc2GaSiPt2, from OQMD via LeMat-Bulk.

```
data_Li2Sc2GaSiPt2
_chemical_formula_sum 'Li2 Sc2 Ga1 Si1 Pt2'
_cell_length_a 4.422
_cell_length_b 4.422
_cell_length_c 6.287
_cell_angle_alpha 90.00
_cell_angle_beta 90.00
_cell_angle_gamma 90.00
_space_group_name_H-M_alt 'P -4 m 2'
_space_group_IT_number 115
_space_group_name_Hall 'P -4 -2'
loop_
_atom_site_label
_atom_site_type_symbol
_atom_site_fract_x
_atom_site_fract_y
_atom_site_fract_z
_atom_site_occupancy
Li1 Li 0.000 0.500 0.248 1
Sc1 Sc 0.000 0.000 0.000 1
Sc2 Sc 0.500 0.500 0.500 1
Ga1 Ga 0.000 0.000 0.500 1
Si1 Si 0.500 0.500 0.000 1
Pt1 Pt 0.000 0.500 0.759 1
```

The following is a PBE calculation of a relaxed structure of Li2Sc2GaSnPt2, from OQMD via LeMat-Bulk.

```
data_Li2Sc2GaSnPt2
_chemical_formula_sum 'Li2 Sc2 Ga1 Sn1 Pt2'
_cell_length_a 4.527
_cell_length_b 4.527
_cell_length_c 6.475
_cell_angle_alpha 90.00
_cell_angle_beta 90.00
_cell_angle_gamma 90.00
_space_group_name_H-M_alt 'P -4 m 2'
_space_group_IT_number 115
_space_group_name_Hall 'P -4 -2'
loop_
_atom_site_label
_atom_site_type_symbol
_atom_site_fract_x
_atom_site_fract_y
_atom_site_fract_z
_atom_site_occupancy
Li1 Li 0.000 0.500 0.234 1
Sc1 Sc 0.000 0.000 0.000 1
Sc2 Sc 0.500 0.500 0.500 1
Ga1 Ga 0.500 0.500 0.000 1
Sn1 Sn 0.000 0.000 0.500 1
Pt1 Pt 0.000 0.500 0.761 1
```

The following is a PBE calculation of a relaxed structure of Li2ScZnGa2Pt2, from OQMD via LeMat-Bulk.

```
data_Li2ScZnGa2Pt2
_chemical_formula_sum 'Li2 Sc1 Zn1 Ga2 Pt2'
_cell_length_a 4.389
_cell_length_b 4.389
_cell_length_c 6.270
_cell_angle_alpha 90.00
_cell_angle_beta 90.00
_cell_angle_gamma 90.00
_space_group_name_H-M_alt 'P -4 m 2'
_space_group_IT_number 115
_space_group_name_Hall 'P -4 -2'
loop_
_atom_site_label
_atom_site_type_symbol
_atom_site_fract_x
_atom_site_fract_y
_atom_site_fract_z
_atom_site_occupancy
Li1 Li 0.000 0.500 0.218 1
Sc1 Sc 0.500 0.500 0.500 1
Zn1 Zn 0.000 0.000 0.000 1
Ga1 Ga 0.000 0.000 0.500 1
Ga2 Ga 0.500 0.500 0.000 1
Pt1 Pt 0.000 0.500 0.754 1
```

The following is a PBE calculation of a relaxed structure of Li4GaSiPt2, from OQMD via LeMat-Bulk.

```
data_Li4GaSiPt2
_chemical_formula_sum 'Li4 Ga1 Si1 Pt2'
_cell_length_a 4.223
_cell_length_b 4.223
_cell_length_c 5.956
_cell_angle_alpha 90.00
_cell_angle_beta 90.00
_cell_angle_gamma 90.00
_space_group_name_H-M_alt 'P -4 m 2'
_space_group_IT_number 115
_space_group_name_Hall 'P -4 -2'
loop_
_atom_site_label
_atom_site_type_symbol
_atom_site_fract_x
_atom_site_fract_y
_atom_site_fract_z
_atom_site_occupancy
Li1 Li 0.000 0.000 0.000 1
Li2 Li 0.000 0.500 0.749 1
Li3 Li 0.500 0.500 0.500 1
Ga1 Ga 0.500 0.500 0.000 1
Si1 Si 0.000 0.000 0.500 1
Pt1 Pt 0.000 0.500 0.269 1
```

The following is a PBE calculation of a relaxed structure of LiGaSiPt, from OQMD via LeMat-Bulk.

```
data_LiGaSiPt
_chemical_formula_sum 'Li4 Ga4 Si4 Pt4'
_cell_length_a 6.112
_cell_length_b 6.112
_cell_length_c 6.112
_cell_angle_alpha 90.00
_cell_angle_beta 90.00
_cell_angle_gamma 90.00
_space_group_name_H-M_alt 'F -4 3 m'
_space_group_IT_number 216
_space_group_name_Hall 'F -4 2 3'
loop_
_atom_site_label
_atom_site_type_symbol
_atom_site_fract_x
_atom_site_fract_y
_atom_site_fract_z
_atom_site_occupancy
Li1 Li 0.000 0.000 0.000 1
Ga1 Ga 0.250 0.250 0.750 1
Si1 Si 0.000 0.000 0.500 1
Pt1 Pt 0.250 0.250 0.250 1
```

The following is a PBE calculation of a relaxed structure of LiGaSiPt, from OQMD via LeMat-Bulk.

```
data_LiGaSiPt
_chemical_formula_sum 'Li4 Ga4 Si4 Pt4'
_cell_length_a 6.108
_cell_length_b 6.108
_cell_length_c 6.108
_cell_angle_alpha 90.00
_cell_angle_beta 90.00
_cell_angle_gamma 90.00
_space_group_name_H-M_alt 'F -4 3 m'
_space_group_IT_number 216
_space_group_name_Hall 'F -4 2 3'
loop_
_atom_site_label
_atom_site_type_symbol
_atom_site_fract_x
_atom_site_fract_y
_atom_site_fract_z
_atom_site_occupancy
Li1 Li 0.000 0.000 0.000 1
Ga1 Ga 0.250 0.250 0.250 1
Si1 Si 0.250 0.250 0.750 1
Pt1 Pt 0.000 0.000 0.500 1
```

The following is a PBE calculation of a relaxed structure of Li4GaSnPt2, from OQMD via LeMat-Bulk.

```
data_Li4GaSnPt2
_chemical_formula_sum 'Li4 Ga1 Sn1 Pt2'
_cell_length_a 4.363
_cell_length_b 4.363
_cell_length_c 6.240
_cell_angle_alpha 90.00
_cell_angle_beta 90.00
_cell_angle_gamma 90.00
_space_group_name_H-M_alt 'P -4 m 2'
_space_group_IT_number 115
_space_group_name_Hall 'P -4 -2'
loop_
_atom_site_label
_atom_site_type_symbol
_atom_site_fract_x
_atom_site_fract_y
_atom_site_fract_z
_atom_site_occupancy
Li1 Li 0.000 0.000 0.000 1
Li2 Li 0.000 0.500 0.728 1
Li3 Li 0.500 0.500 0.500 1
Ga1 Ga 0.000 0.000 0.500 1
Sn1 Sn 0.500 0.500 0.000 1
Pt1 Pt 0.000 0.500 0.264 1
```

The following is a PBE calculation of a relaxed structure of LiTbGa2Pt4, from OQMD via LeMat-Bulk.

```
data_LiTbGa2Pt4
_chemical_formula_sum 'Li1 Tb1 Ga2 Pt4'
_cell_length_a 4.183
_cell_length_b 4.183
_cell_length_c 7.330
_cell_angle_alpha 90.00
_cell_angle_beta 90.00
_cell_angle_gamma 90.00
_space_group_name_H-M_alt 'P 4/m m m'
_space_group_IT_number 123
_space_group_name_Hall '-P 4 2'
loop_
_atom_site_label
_atom_site_type_symbol
_atom_site_fract_x
_atom_site_fract_y
_atom_site_fract_z
_atom_site_occupancy
Li1 Li 0.000 0.000 0.000 1
Tb1 Tb 0.500 0.500 0.500 1
Ga1 Ga 0.000 0.000 0.500 1
Ga2 Ga 0.500 0.500 0.000 1
Pt1 Pt 0.000 0.500 0.224 1
```

The following is a PBE calculation of a relaxed structure of Li2Zn3GaPt2, from OQMD via LeMat-Bulk.

```
data_Li2Zn3GaPt2
_chemical_formula_sum 'Li2 Zn3 Ga1 Pt2'
_cell_length_a 4.319
_cell_length_b 4.319
_cell_length_c 6.105
_cell_angle_alpha 90.00
_cell_angle_beta 90.00
_cell_angle_gamma 90.00
_space_group_name_H-M_alt 'P -4 m 2'
_space_group_IT_number 115
_space_group_name_Hall 'P -4 -2'
loop_
_atom_site_label
_atom_site_type_symbol
_atom_site_fract_x
_atom_site_fract_y
_atom_site_fract_z
_atom_site_occupancy
Li1 Li 0.000 0.500 0.245 1
Zn1 Zn 0.000 0.000 0.000 1
Zn2 Zn 0.000 0.000 0.500 1
Zn3 Zn 0.500 0.500 0.000 1
Ga1 Ga 0.500 0.500 0.500 1
Pt1 Pt 0.000 0.500 0.744 1
```

The following is a PBE calculation of a relaxed structure of Li4ZnGaPt2, from OQMD via LeMat-Bulk.

```
data_Li4ZnGaPt2
_chemical_formula_sum 'Li4 Zn1 Ga1 Pt2'
_cell_length_a 4.277
_cell_length_b 4.277
_cell_length_c 6.043
_cell_angle_alpha 90.00
_cell_angle_beta 90.00
_cell_angle_gamma 90.00
_space_group_name_H-M_alt 'P -4 m 2'
_space_group_IT_number 115
_space_group_name_Hall 'P -4 -2'
loop_
_atom_site_label
_atom_site_type_symbol
_atom_site_fract_x
_atom_site_fract_y
_atom_site_fract_z
_atom_site_occupancy
Li1 Li 0.000 0.000 0.000 1
Li2 Li 0.000 0.500 0.746 1
Li3 Li 0.500 0.500 0.500 1
Zn1 Zn 0.000 0.000 0.500 1
Ga1 Ga 0.500 0.500 0.000 1
Pt1 Pt 0.000 0.500 0.243 1
```

The following is a PBE calculation of a relaxed structure of Li4Zn2GaPt, from OQMD via LeMat-Bulk.

```
data_Li4Zn2GaPt
_chemical_formula_sum 'Li4 Zn2 Ga1 Pt1'
_cell_length_a 4.270
_cell_length_b 4.270
_cell_length_c 6.108
_cell_angle_alpha 90.00
_cell_angle_beta 90.00
_cell_angle_gamma 90.00
_space_group_name_H-M_alt 'P -4 m 2'
_space_group_IT_number 115
_space_group_name_Hall 'P -4 -2'
loop_
_atom_site_label
_atom_site_type_symbol
_atom_site_fract_x
_atom_site_fract_y
_atom_site_fract_z
_atom_site_occupancy
Li1 Li 0.000 0.000 0.000 1
Li2 Li 0.000 0.500 0.243 1
Li3 Li 0.500 0.500 0.500 1
Zn1 Zn 0.000 0.500 0.754 1
Ga1 Ga 0.000 0.000 0.500 1
Pt1 Pt 0.500 0.500 0.000 1
```

The following is a PBE calculation of a relaxed structure of LiZnGa2Pt4, from OQMD via LeMat-Bulk.

```
data_LiZnGa2Pt4
_chemical_formula_sum 'Li1 Zn1 Ga2 Pt4'
_cell_length_a 4.340
_cell_length_b 4.340
_cell_length_c 6.127
_cell_angle_alpha 90.00
_cell_angle_beta 90.00
_cell_angle_gamma 90.00
_space_group_name_H-M_alt 'P 4/m m m'
_space_group_IT_number 123
_space_group_name_Hall '-P 4 2'
loop_
_atom_site_label
_atom_site_type_symbol
_atom_site_fract_x
_atom_site_fract_y
_atom_site_fract_z
_atom_site_occupancy
Li1 Li 0.000 0.000 0.000 1
Zn1 Zn 0.500 0.500 0.500 1
Ga1 Ga 0.000 0.000 0.500 1
Ga2 Ga 0.500 0.500 0.000 1
Pt1 Pt 0.000 0.500 0.249 1
```

The following is a PBE calculation of a relaxed structure of Li4ZnGa2Pt, from OQMD via LeMat-Bulk.

```
data_Li4ZnGa2Pt
_chemical_formula_sum 'Li4 Zn1 Ga2 Pt1'
_cell_length_a 4.300
_cell_length_b 4.300
_cell_length_c 6.088
_cell_angle_alpha 90.00
_cell_angle_beta 90.00
_cell_angle_gamma 90.00
_space_group_name_H-M_alt 'P -4 m 2'
_space_group_IT_number 115
_space_group_name_Hall 'P -4 -2'
loop_
_atom_site_label
_atom_site_type_symbol
_atom_site_fract_x
_atom_site_fract_y
_atom_site_fract_z
_atom_site_occupancy
Li1 Li 0.000 0.000 0.000 1
Li2 Li 0.000 0.500 0.748 1
Li3 Li 0.500 0.500 0.500 1
Zn1 Zn 0.500 0.500 0.000 1
Ga1 Ga 0.000 0.500 0.261 1
Pt1 Pt 0.000 0.000 0.500 1
```

The following is a PBE calculation of a relaxed structure of LiGaRe2, from OQMD via LeMat-Bulk.

```
data_LiGaRe2
_chemical_formula_sum 'Li4 Ga4 Re8'
_cell_length_a 6.039
_cell_length_b 6.039
_cell_length_c 6.039
_cell_angle_alpha 90.00
_cell_angle_beta 90.00
_cell_angle_gamma 90.00
_space_group_name_H-M_alt 'F -4 3 m'
_space_group_IT_number 216
_space_group_name_Hall 'F -4 2 3'
loop_
_atom_site_label
_atom_site_type_symbol
_atom_site_fract_x
_atom_site_fract_y
_atom_site_fract_z
_atom_site_occupancy
Li1 Li 0.000 0.000 0.000 1
Ga1 Ga 0.250 0.250 0.750 1
Re1 Re 0.000 0.000 0.500 1
Re2 Re 0.250 0.250 0.250 1
```

The following is a PBE calculation of a relaxed structure of Li2GaRe, from OQMD via LeMat-Bulk.

```
data_Li2GaRe
_chemical_formula_sum 'Li8 Ga4 Re4'
_cell_length_a 6.054
_cell_length_b 6.054
_cell_length_c 6.054
_cell_angle_alpha 90.00
_cell_angle_beta 90.00
_cell_angle_gamma 90.00
_space_group_name_H-M_alt 'F -4 3 m'
_space_group_IT_number 216
_space_group_name_Hall 'F -4 2 3'
loop_
_atom_site_label
_atom_site_type_symbol
_atom_site_fract_x
_atom_site_fract_y
_atom_site_fract_z
_atom_site_occupancy
Li1 Li 0.000 0.000 0.000 1
Li2 Li 0.250 0.250 0.250 1
Ga1 Ga 0.000 0.000 0.500 1
Re1 Re 0.250 0.250 0.750 1
```

The following is a PBE calculation of a relaxed structure of LiGaReTc, from OQMD via LeMat-Bulk.

```
data_LiGaReTc
_chemical_formula_sum 'Li4 Ga4 Re4 Tc4'
_cell_length_a 6.028
_cell_length_b 6.028
_cell_length_c 6.028
_cell_angle_alpha 90.00
_cell_angle_beta 90.00
_cell_angle_gamma 90.00
_space_group_name_H-M_alt 'F -4 3 m'
_space_group_IT_number 216
_space_group_name_Hall 'F -4 2 3'
loop_
_atom_site_label
_atom_site_type_symbol
_atom_site_fract_x
_atom_site_fract_y
_atom_site_fract_z
_atom_site_occupancy
Li1 Li 0.000 0.000 0.000 1
Ga1 Ga 0.250 0.250 0.750 1
Re1 Re 0.250 0.250 0.250 1
Tc1 Tc 0.000 0.000 0.500 1
```

The following is a PBE calculation of a relaxed structure of LiGaReTc, from OQMD via LeMat-Bulk.

```
data_LiGaReTc
_chemical_formula_sum 'Li4 Ga4 Re4 Tc4'
_cell_length_a 6.008
_cell_length_b 6.008
_cell_length_c 6.008
_cell_angle_alpha 90.00
_cell_angle_beta 90.00
_cell_angle_gamma 90.00
_space_group_name_H-M_alt 'F -4 3 m'
_space_group_IT_number 216
_space_group_name_Hall 'F -4 2 3'
loop_
_atom_site_label
_atom_site_type_symbol
_atom_site_fract_x
_atom_site_fract_y
_atom_site_fract_z
_atom_site_occupancy
Li1 Li 0.000 0.000 0.000 1
Ga1 Ga 0.000 0.000 0.500 1
Re1 Re 0.250 0.250 0.250 1
Tc1 Tc 0.250 0.250 0.750 1
```

The following is a PBE calculation of a relaxed structure of Li2ZrGaS4, from OQMD via LeMat-Bulk.

```
data_Li2ZrGaS4
_chemical_formula_sum 'Li4 Zr2 Ga2 S8'
_cell_length_a 5.632
_cell_length_b 5.632
_cell_length_c 11.237
_cell_angle_alpha 90.00
_cell_angle_beta 90.00
_cell_angle_gamma 90.00
_space_group_name_H-M_alt 'I -4'
_space_group_IT_number 82
_space_group_name_Hall 'I -4'
loop_
_atom_site_label
_atom_site_type_symbol
_atom_site_fract_x
_atom_site_fract_y
_atom_site_fract_z
_atom_site_occupancy
Li1 Li 0.000 0.000 0.000 1
Li2 Li 0.000 0.500 0.250 1
Zr1 Zr 0.000 0.000 0.500 1
Ga1 Ga 0.000 0.500 0.750 1
S1 S 0.242 0.257 0.628 1
```

The following is a PBE calculation of a relaxed structure of LiZrGaS3, from OQMD via LeMat-Bulk.

```
data_LiZrGaS3
_chemical_formula_sum 'Li4 Zr4 Ga4 S12'
_cell_length_a 3.519
_cell_length_b 12.931
_cell_length_c 9.703
_cell_angle_alpha 90.00
_cell_angle_beta 90.00
_cell_angle_gamma 90.00
_space_group_name_H-M_alt 'C m c m'
_space_group_IT_number 63
_space_group_name_Hall '-C 2c 2'
loop_
_atom_site_label
_atom_site_type_symbol
_atom_site_fract_x
_atom_site_fract_y
_atom_site_fract_z
_atom_site_occupancy
Li1 Li 0.000 0.234 0.250 1
Zr1 Zr 0.000 0.000 0.000 1
Ga1 Ga 0.000 0.471 0.750 1
S1 S 0.000 0.101 0.750 1
S2 S 0.000 0.354 0.567 1
```

The following is a PBE calculation of a relaxed structure of Li2ZrGaSe4, from OQMD via LeMat-Bulk.

```
data_Li2ZrGaSe4
_chemical_formula_sum 'Li4 Zr2 Ga2 Se8'
_cell_length_a 5.985
_cell_length_b 5.985
_cell_length_c 11.665
_cell_angle_alpha 90.00
_cell_angle_beta 90.00
_cell_angle_gamma 90.00
_space_group_name_H-M_alt 'I -4'
_space_group_IT_number 82
_space_group_name_Hall 'I -4'
loop_
_atom_site_label
_atom_site_type_symbol
_atom_site_fract_x
_atom_site_fract_y
_atom_site_fract_z
_atom_site_occupancy
Li1 Li 0.000 0.000 0.000 1
Li2 Li 0.000 0.500 0.250 1
Zr1 Zr 0.000 0.500 0.750 1
Ga1 Ga 0.000 0.000 0.500 1
Se1 Se 0.246 0.246 0.376 1
```

Raw total energy / eV per atom: -5.5091, -5.3393, -4.4213, -4.2005, -4.4350, -4.5766, -4.0006, -5.3709, -3.4337, -3.6133, -2.8064, -4.8056, -3.1026, -7.5080, -4.5134, -7.0400, -6.4938, -5.0950, -5.1909, -4.6470